Entry 1:
This record from Alexandria via LeMat-Bulk describes a geometry-optimized Ca2Si3Ni9 structure. The functional is PBE-GGA.

Calculated values
density of states at the Fermi level	16.97	states/eV/cell
magnetic moment	0.0	μB per cell
formation energy from raw total energies	-448	meV/atom
E_tot	-5.612	eV/atom

Geometry as POSCAR:
```
Ca2Si3Ni9
1.0
6.178 -3.513 0.000
6.178 3.513 0.000
-4.139 0.000 8.479
Ca Si Ni
4 6 18
direct
0.085 0.258 0.248
0.258 0.085 0.748
0.742 0.915 0.252
0.915 0.742 0.752
0.000 0.500 0.000
0.150 0.676 0.500
0.324 0.850 0.000
0.500 0.000 0.500
0.676 0.150 0.000
0.850 0.324 0.500
0.028 0.856 0.079
0.144 0.972 0.421
0.194 0.357 0.568
0.223 0.579 0.253
0.325 0.494 0.973
0.357 0.194 0.068
0.378 0.622 0.750
0.421 0.777 0.247
0.494 0.325 0.473
0.506 0.675 0.527
0.579 0.223 0.753
0.622 0.378 0.250
0.643 0.806 0.932
0.675 0.506 0.027
0.777 0.421 0.747
0.806 0.643 0.432
0.856 0.028 0.579
0.972 0.144 0.921
```

***

Entry 2:
This record from Alexandria via LeMat-Bulk describes a geometry-optimized SrCa2SiNi structure. The functional is PBE-GGA.

Calculated values
density of states at the Fermi level	3.14	states/eV/cell
magnetic moment	0.0	μB per cell
formation energy from raw total energies	-140	meV/atom
E_tot	-3.517	eV/atom

Geometry as POSCAR:
```
SrCa2SiNi
1.0
5.478 0.000 0.000
0.000 5.478 0.000
0.000 0.000 4.588
Sr Ca Si Ni
1 2 1 1
direct
0.000 0.000 0.000
0.000 0.500 0.500
0.500 0.000 0.500
0.500 0.500 0.000
0.500 0.500 0.500
```

***

Entry 3:
This record from Alexandria via LeMat-Bulk describes a geometry-optimized Ca2SiTcNi structure. The functional is PBE-GGA.

Calculated values
density of states at the Fermi level	7.78	states/eV/cell
magnetic moment	3.1	μB per cell
formation energy from raw total energies	499	meV/atom
E_tot	-4.616	eV/atom

Geometry as POSCAR:
```
Ca2SiTcNi
1.0
5.234 0.000 0.000
0.000 5.234 0.000
0.000 0.000 4.303
Ca Si Tc Ni
2 1 1 1
direct
0.000 0.500 0.000
0.500 0.000 0.000
0.000 0.000 0.500
0.500 0.500 0.500
0.000 0.000 0.000
```

***

Entry 4:
This record from Alexandria via LeMat-Bulk describes a geometry-optimized Ca2SiNiTe structure. The functional is PBE-GGA.

Calculated values
density of states at the Fermi level	1.83	states/eV/cell
magnetic moment	0.0	μB per cell
formation energy from raw total energies	-618	meV/atom
E_tot	-4.288	eV/atom

Geometry as POSCAR:
```
Ca2SiNiTe
1.0
5.493 0.000 0.000
0.000 5.493 0.000
0.000 0.000 4.260
Ca Si Ni Te
2 1 1 1
direct
0.000 0.500 0.000
0.500 0.000 0.000
0.000 0.000 0.500
0.000 0.000 0.000
0.500 0.500 0.500
```

***

Entry 5:
This record from Alexandria via LeMat-Bulk describes a geometry-optimized CaZnSi2Ni structure. The functional is PBE-GGA.

Calculated values
density of states at the Fermi level	5.97	states/eV/cell
magnetic moment	0.0	μB per cell
formation energy from raw total energies	-456	meV/atom
E_tot	-4.437	eV/atom

Geometry as POSCAR:
```
CaZnSi2Ni
1.0
4.026 0.000 0.000
0.000 4.026 0.000
0.000 0.000 10.161
Ca Zn Si Ni
2 2 4 2
direct
0.000 0.000 0.000
0.500 0.500 0.500
0.000 0.500 0.250
0.500 0.000 0.750
0.000 0.000 0.383
0.000 0.000 0.617
0.500 0.500 0.117
0.500 0.500 0.883
0.000 0.500 0.750
0.500 0.000 0.250
```

***

Entry 6:
This record from Alexandria via LeMat-Bulk describes a geometry-optimized Ca2ZnSi2Ni5 structure. The functional is PBE-GGA.

Calculated values
density of states at the Fermi level	11.73	states/eV/cell
magnetic moment	0.0	μB per cell
formation energy from raw total energies	-316	meV/atom
E_tot	-4.819	eV/atom

Geometry as POSCAR:
```
Ca2ZnSi2Ni5
1.0
10.012 0.000 0.000
0.000 10.012 0.000
0.000 0.000 2.930
Ca Zn Si Ni
4 2 4 10
direct
0.174 0.326 0.000
0.326 0.826 0.000
0.674 0.174 0.000
0.826 0.674 0.000
0.000 0.000 0.000
0.500 0.500 0.000
0.127 0.627 0.000
0.373 0.127 0.000
0.627 0.873 0.000
0.873 0.373 0.000
0.000 0.500 0.500
0.060 0.796 0.500
0.204 0.060 0.500
0.296 0.560 0.500
0.440 0.296 0.500
0.500 0.000 0.500
0.560 0.704 0.500
0.704 0.440 0.500
0.796 0.940 0.500
0.940 0.204 0.500
```

***

Entry 7:
This record from Alexandria via LeMat-Bulk describes a geometry-optimized Ca2ZnSi4Ni3 structure. The functional is PBE-GGA.

Calculated values
density of states at the Fermi level	3.84	states/eV/cell
magnetic moment	0.0	μB per cell
formation energy from raw total energies	-545	meV/atom
E_tot	-4.976	eV/atom

Geometry as POSCAR:
```
Ca2ZnSi4Ni3
1.0
4.000 0.000 0.000
0.000 4.000 0.000
0.000 0.000 9.854
Ca Zn Si Ni
2 1 4 3
direct
0.000 0.500 0.246
0.500 0.000 0.754
0.000 0.000 0.500
0.000 0.000 0.000
0.000 0.500 0.642
0.500 0.000 0.358
0.500 0.500 0.000
0.000 0.500 0.878
0.500 0.000 0.122
0.500 0.500 0.500
```

***

Entry 8:
This record from Alexandria via LeMat-Bulk describes a geometry-optimized CaSm2Ni2 structure. The functional is PBE-GGA.

Calculated values
density of states at the Fermi level	9.15	states/eV/cell
magnetic moment	0.0	μB per cell
E_tot	-4.877	eV/atom

Geometry as POSCAR:
```
CaSm2Ni2
1.0
4.096 0.000 0.000
0.000 16.120 0.000
0.000 0.000 3.814
Ca Sm Ni
2 4 4
direct
0.000 0.000 0.000
0.500 0.500 0.000
0.000 0.342 0.500
0.000 0.658 0.500
0.500 0.158 0.500
0.500 0.842 0.500
0.000 0.203 0.000
0.000 0.797 0.000
0.500 0.297 0.000
0.500 0.703 0.000
```

***

Entry 9:
This record from Alexandria via LeMat-Bulk describes a geometry-optimized CaSmNi10 structure. The functional is PBE-GGA.

Calculated values
density of states at the Fermi level	15.81	states/eV/cell
magnetic moment	3.4	μB per cell
E_tot	-5.581	eV/atom

Geometry as POSCAR:
```
CaSmNi10
1.0
3.951 0.000 0.000
0.000 4.933 0.000
0.000 0.000 8.530
Ca Sm Ni
1 1 10
direct
0.000 0.000 0.000
0.000 0.500 0.500
0.000 0.000 0.333
0.000 0.000 0.667
0.000 0.500 0.167
0.000 0.500 0.833
0.500 0.000 0.500
0.500 0.251 0.251
0.500 0.251 0.749
0.500 0.500 0.000
0.500 0.749 0.251
0.500 0.749 0.749
```

***

Entry 10:
This record from Alexandria via LeMat-Bulk describes a geometry-optimized CaSm2Ni9 structure. The functional is PBE-GGA.

Calculated values
density of states at the Fermi level	12.12	states/eV/cell
magnetic moment	1.8	μB per cell
E_tot	-5.566	eV/atom

Geometry as POSCAR:
```
CaSm2Ni9
1.0
2.511 1.450 8.140
-2.511 1.450 8.140
0.000 -2.899 8.140
Ca Sm Ni
1 2 9
direct
0.000 0.000 0.000
0.138 0.138 0.138
0.862 0.862 0.862
0.081 0.581 0.581
0.333 0.333 0.333
0.419 0.419 0.919
0.419 0.919 0.419
0.500 0.500 0.500
0.581 0.081 0.581
0.581 0.581 0.081
0.667 0.667 0.667
0.919 0.419 0.419
```

***

Copy entry 6 word for word.
This record from Alexandria via LeMat-Bulk describes a geometry-optimized Ca2ZnSi2Ni5 structure. The functional is PBE-GGA.

Calculated values
density of states at the Fermi level	11.73	states/eV/cell
magnetic moment	0.0	μB per cell
formation energy from raw total energies	-316	meV/atom
E_tot	-4.819	eV/atom

Geometry as POSCAR:
```
Ca2ZnSi2Ni5
1.0
10.012 0.000 0.000
0.000 10.012 0.000
0.000 0.000 2.930
Ca Zn Si Ni
4 2 4 10
direct
0.174 0.326 0.000
0.326 0.826 0.000
0.674 0.174 0.000
0.826 0.674 0.000
0.000 0.000 0.000
0.500 0.500 0.000
0.127 0.627 0.000
0.373 0.127 0.000
0.627 0.873 0.000
0.873 0.373 0.000
0.000 0.500 0.500
0.060 0.796 0.500
0.204 0.060 0.500
0.296 0.560 0.500
0.440 0.296 0.500
0.500 0.000 0.500
0.560 0.704 0.500
0.704 0.440 0.500
0.796 0.940 0.500
0.940 0.204 0.500
```